(1)
Na5LiAs2 PBE optimized geometry; mass density = 2.22 g cm⁻³; DFT total energy = -0.193 Ry/atom; E_form = -0.407 eV per atom
1.0
-1.6248 -1.1018 -4.7411
-0.7666 -3.3433 3.8167
-15.6623 7.6813 3.5826
Na Li As
10 2 4
direct
0.6667 0.3333 0.2500
0.0000 0.0000 0.3695
0.0000 0.0000 0.1305
0.6667 0.3333 0.0509
0.3333 0.6667 0.5509
0.6667 0.3333 0.4491
0.0000 0.0000 0.6305
0.3333 0.6667 0.9491
0.3333 0.6667 0.7500
0.0000 0.0000 0.8695
0.6667 0.3333 0.7500
0.3333 0.6667 0.2500
0.3333 0.6667 0.3830
0.6667 0.3333 0.8830
0.3333 0.6667 0.1170
0.6667 0.3333 0.6170


(2)
AcNd4Se6 PBE optimized geometry; mass density = 6.73 g cm⁻³; DFT total energy = -0.435 Ry/atom; formation energy without anion corrections = -1.90 eV per atom
1.0
4.2273 0.0000 0.0000
-2.1136 6.9461 0.0000
0.0000 0.0000 21.4814
Nd Se Ac
8 12 2
direct
0.8591 0.7182 0.9616
0.4079 0.8158 0.3750
0.4079 0.8158 0.1250
0.8591 0.7182 0.5384
0.1409 0.2818 0.4616
0.5921 0.1842 0.8750
0.1409 0.2818 0.0384
0.5921 0.1842 0.6250
0.9518 0.9035 0.8351
0.0482 0.0965 0.3351
0.2337 0.4674 0.5922
0.3197 0.6395 0.2500
0.2337 0.4674 0.9078
0.6803 0.3605 0.7500
0.9518 0.9035 0.6649
0.7663 0.5326 0.4078
0.5000 0.0000 0.5000
0.7663 0.5326 0.0922
0.5000 0.0000 0.0000
0.0482 0.0965 0.1649
0.3415 0.6830 0.7500
0.6585 0.3170 0.2500


(3)
U2InCo2 PBE optimized geometry; mass density = 13.00 g cm⁻³; DFT total energy = -0.590 Ry/atom; E_form = -0.120 eV per atom
1.0
-4.2983 -5.7181 -1.9831
3.8180 -0.6746 -6.3303
2.0791 -2.0743 1.4750
U In Co
4 2 4
direct
0.3341 0.1659 0.5000
0.1659 0.6659 0.5000
0.8341 0.3341 0.5000
0.6659 0.8341 0.5000
0.0000 0.0000 0.0000
0.5000 0.5000 0.0000
0.1326 0.3674 0.0000
0.8674 0.6326 0.0000
0.3674 0.8674 0.0000
0.6326 0.1326 0.0000


- Which of these has the highest DFT total energy?
  Na5LiAs2


- DFT total energy of number 3 (U2InCo2)?
  -0.590 Ry/atom


- Which value of DFT total energy does entry 1 give?
  -0.193 Ry/atom